# Tb4Sm3Er3

Crystalline Tb4Sm3Er3 at its relaxed geometry (GGA-PBE, Alexandria).

a = 3.7018 Å, b = 9.3669 Å, c = 9.3669 Å
α = 89.76°, β = 90.00°, γ = 90.00°
Fractional positions:
Tb 0.0000 0.0000 0.0000
Tb 0.0000 0.2553 0.2553
Tb 0.0000 0.5036 0.7565
Tb 0.0000 0.7565 0.5036
Sm 0.5000 0.3000 0.9550
Sm 0.5000 0.4562 0.4562
Sm 0.5000 0.9550 0.3000
Er 0.0000 0.1239 0.6298
Er 0.0000 0.6298 0.1239
Er 0.5000 0.8007 0.8007

Calculated values
- Final energy: -4.535 eV per atom
- ΔE_f: 101.4 meV per atom
- Symmetry: Amm2 (38)
- Fermi-level density of states: 0.84 states/eV/atom
- Magnetic moment: 0.0 Bohr magnetons per cell